Version one
Computed, not measured: an optimized crystal structure of Ca2In4Sn at the PBE level of DFT.

Cell: 8.9538 8.9538 8.9538 Å, 143.23 143.23 52.98°
Closest atoms and distances in Å follow each position.
Fractional coordinates of all 7 atoms:
Ca1 0.1195 0.1195 0.0000  5 In 3.19-3.41
Ca2 0.8805 0.8805 0.0000  5 In 3.19-3.41
In1 0.0000 0.5000 0.5000  2 Sn 2.82
In2 0.3184 0.3184 0.0000  1 Sn 2.91, 1 Ca 3.19
In3 0.5000 0.0000 0.5000  2 Sn 2.82
In4 0.6816 0.6816 0.0000  1 Sn 2.91, 1 Ca 3.19
Sn1 0.5000 0.5000 0.0000  6 In 2.82-2.91

Computed properties:
Its total magnetization is 0.0 μB per formula unit. The symmetry is I4/mmm (139).

Version two
Computed, not measured: an optimized crystal structure of Ca2In4Sn at the PBE level of DFT.

Cell: 11.1300 11.1300 3.3968 Å, 90.00 90.00 90.00°
Closest atoms and distances in Å follow each position.
Fractional coordinates of all 14 atoms:
Ca1 0.1734 0.1734 0.0000  2 Sn 3.22, 6 In 3.24-3.30, 2 Ca 3.40
Ca2 0.3266 0.6734 0.5000  2 Sn 3.22, 6 In 3.24-3.30, 2 Ca 3.40
Ca3 0.6734 0.3266 0.5000  2 Sn 3.22, 6 In 3.24-3.30, 2 Ca 3.40
Ca4 0.8266 0.8266 0.0000  2 Sn 3.22, 6 In 3.24-3.30, 2 Ca 3.40
In1 0.0726 0.6713 0.0000  3 Ca 3.24-3.30, 6 In 3.39-3.40
In2 0.1713 0.4274 0.5000  3 Ca 3.24-3.30, 6 In 3.39-3.40
In3 0.3287 0.9274 0.0000  3 Ca 3.24-3.30, 6 In 3.39-3.40
In4 0.4274 0.1713 0.5000  3 Ca 3.24-3.30, 6 In 3.39-3.40
In5 0.5726 0.8287 0.5000  3 Ca 3.24-3.30, 6 In 3.39-3.40
In6 0.6713 0.0726 0.0000  3 Ca 3.24-3.30, 6 In 3.39-3.40
In7 0.8287 0.5726 0.5000  3 Ca 3.24-3.30, 6 In 3.39-3.40
In8 0.9274 0.3287 0.0000  3 Ca 3.24-3.30, 6 In 3.39-3.40
Sn1 0.0000 0.0000 0.5000  4 Ca 3.22, 2 Sn 3.40
Sn2 0.5000 0.5000 0.0000  4 Ca 3.22, 2 Sn 3.40

Computed properties:
Its total magnetization is 0.0 μB per formula unit. The symmetry is P4_2/mnm (136).

Computed relative energies in units of eV/atom: version one 0.221; version two 0.000

Version one
Computed, not measured: an optimized crystal structure of Ca2In6Sn at the PBE level of DFT.

Cell: 6.6917 6.6917 6.5721 Å, 90.01 90.01 59.95°
Closest atoms and distances in Å follow each position.
Fractional coordinates of all 9 atoms:
Ca1 0.1666 0.1666 0.3656  11 In 3.52-3.93
Ca2 0.8334 0.8334 0.6344  11 In 3.52-3.93
In1 0.1398 0.6795 0.1687  1 Sn 3.02, 4 In 3.05-3.08
In2 0.3197 0.3197 0.8290  1 Sn 3.01, 4 In 3.05-3.07
In3 0.3205 0.8602 0.8313  1 Sn 3.02, 4 In 3.05-3.08
In4 0.6795 0.1398 0.1687  1 Sn 3.02, 4 In 3.05-3.08
In5 0.6803 0.6803 0.1710  1 Sn 3.01, 4 In 3.05-3.07
In6 0.8602 0.3205 0.8313  1 Sn 3.02, 4 In 3.05-3.08
Sn1 0.5000 0.5000 0.5000  6 In 3.01-3.02

Computed properties:
Its total magnetization is 0.0 μB per formula unit. The symmetry is C2/m (12).

Version two
Computed, not measured: an optimized crystal structure of Ca2In6Sn at the PBE level of DFT.

Cell: 9.0540 9.0540 3.4339 Å, 90.00 90.00 120.00°
Closest atoms and distances in Å follow each position.
Fractional coordinates of all 9 atoms:
Ca1 0.3333 0.6667 0.0000  2 Ca 3.43, 12 In 3.48
Ca2 0.6667 0.3333 0.0000  2 Ca 3.43, 12 In 3.48
In1 0.0000 0.3312 0.5000  3 In 3.00-3.06
In2 0.0000 0.6688 0.5000  3 In 3.00-3.06
In3 0.3312 0.0000 0.5000  3 In 3.00-3.06
In4 0.3312 0.3312 0.5000  3 In 3.00-3.06
In5 0.6688 0.0000 0.5000  3 In 3.00-3.06
In6 0.6688 0.6688 0.5000  3 In 3.00-3.06
Sn1 0.0000 0.0000 0.0000  2 Sn 3.43, 12 In 3.46

Computed properties:
Its total magnetization is 0.0 μB per formula unit. The symmetry is P6/mmm (191).

Computed relative energies in units of eV/atom: version one 0.000; version two 0.008

Version one
Computed, not measured: an optimized crystal structure of Ca3InSn at the PBE level of DFT.

Cell: 10.3397 10.3397 6.8700 Å, 90.01 90.01 60.09°
Closest atoms and distances in Å follow each position.
Fractional coordinates of all 20 atoms:
Ca1 0.0831 0.2209 0.4803  2 Sn 3.18-3.43, 2 In 3.23-3.37, 1 Ca 3.52
Ca2 0.1777 0.6777 0.0001  4 In 3.36-3.37, 2 Sn 3.49, 2 Ca 3.60
Ca3 0.2209 0.0831 0.9803  2 Sn 3.18-3.43, 2 In 3.23-3.37, 1 Ca 3.52
Ca4 0.2787 0.4180 0.4806  2 Sn 3.18-3.43, 2 In 3.23-3.36, 1 Ca 3.52
Ca5 0.3223 0.8223 0.4999  4 In 3.36-3.37, 2 Sn 3.49, 2 Ca 3.60
Ca6 0.4180 0.2787 0.9806  2 Sn 3.18-3.43, 2 In 3.23-3.36, 1 Ca 3.52
Ca7 0.5820 0.7213 0.0194  2 Sn 3.18-3.43, 2 In 3.23-3.36, 1 Ca 3.52
Ca8 0.6777 0.1777 0.5001  4 In 3.36-3.37, 2 Sn 3.49, 2 Ca 3.60
Ca9 0.7213 0.5820 0.5194  2 Sn 3.18-3.43, 2 In 3.23-3.36, 1 Ca 3.52
Ca10 0.7791 0.9169 0.0197  2 Sn 3.18-3.43, 2 In 3.23-3.37, 1 Ca 3.52
Ca11 0.8223 0.3223 0.9999  4 In 3.36-3.37, 2 Sn 3.49, 2 Ca 3.60
Ca12 0.9169 0.7791 0.5197  2 Sn 3.18-3.43, 2 In 3.23-3.37, 1 Ca 3.52
In1 0.0002 0.9998 0.2500  8 Ca 3.23-3.37, 2 In 3.43
In2 0.9998 0.0002 0.7500  8 Ca 3.23-3.37, 2 In 3.43
In3 0.5004 0.4996 0.2500  8 Ca 3.23-3.37, 2 In 3.44
In4 0.4996 0.5004 0.7500  8 Ca 3.23-3.37, 2 In 3.44
Sn1 0.0348 0.4651 0.7983  1 Sn 2.86, 2 Ca 3.18
Sn2 0.4651 0.0348 0.2983  1 Sn 2.86, 2 Ca 3.18
Sn3 0.5349 0.9652 0.7017  1 Sn 2.86, 2 Ca 3.18
Sn4 0.9652 0.5349 0.2017  1 Sn 2.86, 2 Ca 3.18

Computed properties:
Its total magnetization is 0.0 μB per formula unit. The symmetry is C2/c (15).

Version two
Computed, not measured: an optimized crystal structure of Ca3InSn at the PBE level of DFT.

Cell: 5.9283 5.9283 5.9283 Å, 90.00 90.00 90.00°
Closest atoms and distances in Å follow each position.
Fractional coordinates of all 5 atoms:
Ca1 0.0000 0.0000 0.5000  2 Sn 2.96
Ca2 0.0000 0.5000 0.0000  2 Sn 2.96
Ca3 0.5000 0.0000 0.0000  2 Sn 2.96
In1 0.5000 0.5000 0.5000  12 Ca 4.19
Sn1 0.0000 0.0000 0.0000  6 Ca 2.96

Computed properties:
Its total magnetization is 0.0 μB per formula unit. The symmetry is Pm-3m (221).

Computed relative energies in units of eV/atom: version one 0.000; version two 0.344

Version one
Computed, not measured: an optimized crystal structure of Sr3CaIn at the PBE level of DFT.

Cell: 6.5860 6.5860 6.5860 Å, 90.00 90.00 90.00°
Closest atoms and distances in Å follow each position.
Fractional coordinates of all 5 atoms:
Sr1 0.0000 0.0000 0.5000  2 Ca 3.29
Sr2 0.0000 0.5000 0.0000  2 Ca 3.29
Sr3 0.5000 0.0000 0.0000  2 Ca 3.29
Ca1 0.0000 0.0000 0.0000  6 Sr 3.29
In1 0.5000 0.5000 0.5000  12 Sr 4.66

Computed properties:
Its total magnetization is 2.4 μB per formula unit. The symmetry is Pm-3m (221).

Version two
Computed, not measured: an optimized crystal structure of Sr3CaIn at the PBE level of DFT.

Cell: 6.4473 6.4473 6.4473 Å, 90.00 90.00 90.00°
Closest atoms and distances in Å follow each position.
Fractional coordinates of all 5 atoms:
Sr1 0.0000 0.0000 0.5000  2 In 3.22
Sr2 0.0000 0.5000 0.0000  2 In 3.22
Sr3 0.5000 0.0000 0.0000  2 In 3.22
Ca1 0.5000 0.5000 0.5000  12 Sr 4.56
In1 0.0000 0.0000 0.0000  6 Sr 3.22

Computed properties:
Its total magnetization is 0.0 μB per formula unit. The symmetry is Pm-3m (221).

Computed relative energies in units of eV/atom: version one 0.661; version two 0.000

Version one
Computed, not measured: an optimized crystal structure of SrCa2In2 at the PBE level of DFT.

Cell: 9.1122 9.1122 4.0618 Å, 90.00 90.00 90.00°
Closest atoms and distances in Å follow each position.
Fractional coordinates of all 10 atoms:
Sr1 0.0000 0.0000 0.0000  4 In 3.60, 8 Ca 3.94
Sr2 0.5000 0.5000 0.0000  4 In 3.60, 8 Ca 3.94
Ca1 0.1702 0.3298 0.5000  6 In 3.33-3.39
Ca2 0.3298 0.8298 0.5000  6 In 3.33-3.39
Ca3 0.6702 0.1702 0.5000  6 In 3.33-3.39
Ca4 0.8298 0.6702 0.5000  6 In 3.33-3.39
In1 0.1248 0.6248 0.0000  1 In 3.22, 6 Ca 3.33-3.39
In2 0.3752 0.1248 0.0000  1 In 3.22, 6 Ca 3.33-3.39
In3 0.6248 0.8752 0.0000  1 In 3.22, 6 Ca 3.33-3.39
In4 0.8752 0.3752 0.0000  1 In 3.22, 6 Ca 3.33-3.39

Computed properties:
Its total magnetization is 0.0 μB per formula unit. The symmetry is P4/mbm (127).

Version two
Computed, not measured: an optimized crystal structure of SrCa2In2 at the PBE level of DFT.

Cell: 9.4568 9.4568 3.6014 Å, 90.00 90.00 90.00°
Closest atoms and distances in Å follow each position.
Fractional coordinates of all 10 atoms:
Sr1 0.0000 0.0000 0.0000  2 Sr 3.60, 4 Ca 3.72, 8 In 3.94
Sr2 0.5000 0.5000 0.0000  2 Sr 3.60, 4 Ca 3.72, 8 In 3.94
Ca1 0.1274 0.3726 0.0000  6 In 3.25-3.37, 3 Ca 3.41-3.60
Ca2 0.3726 0.8726 0.0000  6 In 3.25-3.37, 3 Ca 3.41-3.60
Ca3 0.6274 0.1274 0.0000  6 In 3.25-3.37, 3 Ca 3.41-3.60
Ca4 0.8726 0.6274 0.0000  6 In 3.25-3.37, 3 Ca 3.41-3.60
In1 0.1707 0.6707 0.5000  6 Ca 3.25-3.37, 2 In 3.60
In2 0.3293 0.1707 0.5000  6 Ca 3.25-3.37, 2 In 3.60
In3 0.6707 0.8293 0.5000  6 Ca 3.25-3.37, 2 In 3.60
In4 0.8293 0.3293 0.5000  6 Ca 3.25-3.37, 2 In 3.60

Computed properties:
Its total magnetization is 0.0 μB per formula unit. The symmetry is P4/mbm (127).

Version three
Computed, not measured: an optimized crystal structure of SrCa2In2 at the PBE level of DFT.

Cell: 3.9912 5.7119 14.7551 Å, 90.00 97.78 90.00°
Closest atoms and distances in Å follow each position.
Fractional coordinates of all 10 atoms:
Sr1 0.1415 0.2500 0.2838  6 In 3.48-3.50, 2 Ca 3.85
Sr2 0.8585 0.7500 0.7162  6 In 3.48-3.50, 2 Ca 3.85
Ca1 0.0480 0.7500 0.0956  8 In 3.33-3.49
Ca2 0.2301 0.7500 0.4601  2 In 3.27
Ca3 0.7699 0.2500 0.5399  2 In 3.27
Ca4 0.9520 0.2500 0.9044  8 In 3.33-3.49
In1 0.3582 0.2500 0.7170  4 Ca 3.27-3.39, 4 Sr 3.48-3.49
In2 0.4569 0.7500 0.9128  6 Ca 3.33-3.49, 2 Sr 3.50
In3 0.5431 0.2500 0.0872  6 Ca 3.33-3.49, 2 Sr 3.50
In4 0.6418 0.7500 0.2830  4 Ca 3.27-3.39, 4 Sr 3.48-3.49

Computed properties:
Its total magnetization is 0.0 μB per formula unit. The symmetry is P2_1/m (11).

Version four
Computed, not measured: an optimized crystal structure of SrCa2In2 at the PBE level of DFT.

Cell: 7.0744 7.0744 7.0744 Å, 132.25 132.25 69.84°
Closest atoms and distances in Å follow each position.
Fractional coordinates of all 5 atoms:
Sr1 0.0000 0.0000 0.0000  10 Ca 4.06-4.41, 8 In 4.08
Ca1 0.3499 0.3499 0.0000  4 In 3.09
Ca2 0.6501 0.6501 0.0000  4 In 3.09
In1 0.2500 0.7500 0.5000  4 Ca 3.09
In2 0.7500 0.2500 0.5000  4 Ca 3.09

Computed properties:
Its total magnetization is 0.0 μB per formula unit. The symmetry is I4/mmm (139).

Computed relative energies in units of eV/atom: version one 0.000; version two 0.011; version three 0.017; version four 0.245

Version one
Computed, not measured: an optimized crystal structure of SrCa2In2 at the PBE level of DFT.

Cell: 7.9667 7.9667 7.9667 Å, 143.49 143.49 52.60°
Closest atoms and distances in Å follow each position.
Fractional coordinates of all 5 atoms:
Sr1 0.0000 0.0000 0.0000  8 In 3.80
Ca1 0.2500 0.7500 0.5000  4 In 3.29, 4 Ca 3.53
Ca2 0.7500 0.2500 0.5000  4 In 3.29, 4 Ca 3.53
In1 0.4006 0.4006 0.0000  1 In 2.84
In2 0.5994 0.5994 0.0000  1 In 2.84

Computed properties:
Its total magnetization is 0.0 μB per formula unit. The symmetry is I4/mmm (139).

Version two
Computed, not measured: an optimized crystal structure of SrCa2In2 at the PBE level of DFT.

Cell: 7.5950 5.3613 8.6092 Å, 90.00 107.04 90.00°
Closest atoms and distances in Å follow each position.
Fractional coordinates of all 10 atoms:
Sr1 0.1810 0.2500 0.2177  6 In 3.63-3.74, 6 Ca 3.82-3.96
Sr2 0.8190 0.7500 0.7823  6 In 3.63-3.74, 6 Ca 3.82-3.96
Ca1 0.1929 0.7500 0.5447  6 In 3.19-3.45
Ca2 0.3509 0.7500 0.9801  3 In 3.22-3.25, 3 Ca 3.46-3.59
Ca3 0.6491 0.2500 0.0199  3 In 3.22-3.25, 3 Ca 3.46-3.59
Ca4 0.8071 0.2500 0.4553  6 In 3.19-3.45
In1 0.1639 0.2500 0.7878  1 In 3.15, 5 Ca 3.25-3.45
In2 0.4895 0.2500 0.6299  3 In 3.15-3.52, 4 Ca 3.19-3.44
In3 0.5105 0.7500 0.3701  3 In 3.15-3.52, 4 Ca 3.19-3.44
In4 0.8361 0.7500 0.2122  1 In 3.15, 5 Ca 3.25-3.45

Computed properties:
Its total magnetization is 0.0 μB per formula unit. The symmetry is P2_1/m (11).

Computed relative energies in units of eV/atom: version one 0.057; version two 0.000